AgWCF2, optimized geometry, DFT PBE+U; calculated total energy = -3.748 eV per atom; DOS at the Fermi energy = 1.86 states/eV/f.u.; space-group type = P4/mmm; spin magnetization = 4.4 μB per cell
1.0
-0.6569 3.3871 -2.5274
-4.0096 -0.3785 0.5349
0.2105 2.5808 3.4040
C Ag W F
1 1 1 2
Direct
0.0000 0.0000 0.0000 C
0.0000 0.5000 0.0000 Ag
0.5000 0.5000 0.5000 W
0.0000 0.0000 0.5000 F
0.5000 0.0000 0.0000 F